No. 1
Density functional theory data (GGA-PBE) for a relaxed structure of KTbPr2.

extended XYZ file:
```
12
Lattice="3.682 0.000 0.000 -1.841 3.189 0.000 0.000 0.000 40.520" Properties=species:S:1:pos:R:3 pbc="T T T"
K 0.000 0.000 0.000
K 0.000 2.126 27.013
K 1.841 1.063 13.507
Tb 0.000 0.000 20.260
Tb 0.000 2.126 6.753
Tb 1.841 1.063 33.766
Pr 0.000 0.000 3.869
Pr 0.000 0.000 36.651
Pr 0.000 2.126 23.145
Pr 0.000 2.126 30.882
Pr 1.841 1.063 9.638
Pr 1.841 1.063 17.375
```

Values from the calculation:
- D(E_F) (states/eV/cell) = 14.15
- energy relative to the elements (eV/atom) = 0.18
- crystal system = trigonal

***

No. 2
Density functional theory data (GGA-PBE) for a relaxed structure of K3Tb2PrTe6.

extended XYZ file:
```
12
Lattice="3.948 -6.838 0.000 3.948 6.838 0.000 -2.635 0.000 8.248" Properties=species:S:1:pos:R:3 pbc="T T T"
K 0.000 0.000 0.000
K 3.948 2.251 0.000
K 3.948 -2.251 0.000
Tb 2.630 4.554 4.124
Tb 2.630 -4.554 4.124
Pr 2.630 0.000 4.124
Te 1.282 2.334 2.378
Te -0.067 0.000 5.865
Te 1.282 -2.334 2.378
Te 3.978 2.334 5.870
Te 5.327 0.000 2.383
Te 3.978 -2.334 5.870
```

Values from the calculation:
- formation energy without anion corrections (eV/atom) = -1.4070
- crystal system = monoclinic

***

No. 3
Density functional theory data (GGA-PBE) for a relaxed structure of K2TbPrTe4.

extended XYZ file:
```
8
Lattice="7.935 0.000 0.000 0.000 4.580 0.000 -2.640 0.000 8.258" Properties=species:S:1:pos:R:3 pbc="T T T"
K 0.000 0.000 0.000
K 3.968 2.290 0.000
Tb -1.320 2.290 4.129
Pr 2.648 0.000 4.129
Te -0.055 0.000 5.869
Te 1.266 2.290 2.358
Te 4.029 2.290 5.900
Te 5.350 0.000 2.390
```

Values from the calculation:
- formation energy without anion corrections (eV/atom) = -1.4085
- crystal system = monoclinic

***

No. 4
Density functional theory data (GGA-PBE) for a relaxed structure of K3TbPr2Te6.

extended XYZ file:
```
12
Lattice="3.987 -6.907 0.000 3.987 6.907 0.000 -2.661 0.000 8.258" Properties=species:S:1:pos:R:3 pbc="T T T"
K 0.000 0.000 0.000
K 3.987 2.331 0.000
K 3.987 -2.331 0.000
Tb 2.657 0.000 4.129
Pr 2.657 4.609 4.129
Pr 2.657 -4.609 4.129
Te 1.361 2.248 2.366
Te 0.063 0.000 5.895
Te 1.361 -2.248 2.366
Te 3.953 2.248 5.891
Te 5.250 0.000 2.362
Te 3.953 -2.248 5.891
```

Values from the calculation:
- formation energy without anion corrections (eV/atom) = -1.4126
- crystal system = monoclinic

***

No. 5
Density functional theory data (GGA-PBE) for a relaxed structure of K4TbPr3Te8.

extended XYZ file:
```
16
Lattice="4.615 2.664 8.258 -4.615 2.664 8.258 0.000 -5.329 8.258" Properties=species:S:1:pos:R:3 pbc="T T T"
K 0.000 0.000 0.000
K -2.307 -1.332 8.258
K -2.307 1.332 16.517
K 0.000 2.664 8.258
Tb 0.000 0.000 12.388
Pr -4.615 0.000 12.388
Pr -2.307 1.332 4.129
Pr 2.307 1.332 4.129
Te 0.000 0.000 5.923
Te -2.256 -1.303 14.149
Te 0.000 -2.605 10.626
Te -2.256 1.303 10.626
Te 2.256 -1.303 14.149
Te 0.000 2.605 14.149
Te 2.256 1.303 10.626
Te 0.000 0.000 18.852
```

Values from the calculation:
- formation energy without anion corrections (eV/atom) = -1.4135
- crystal system = trigonal

***

No. 6
Density functional theory data (GGA-PBE) for a relaxed structure of K3TbPr3Te8.

extended XYZ file:
```
15
Lattice="7.875 -4.543 0.000 7.875 4.543 0.000 -5.253 0.000 8.489" Properties=species:S:1:pos:R:3 pbc="T T T"
K 0.000 0.000 0.000
K 3.938 2.272 0.000
K 3.938 -2.272 0.000
Tb -2.627 0.000 4.245
Pr 1.311 2.272 4.245
Pr 1.311 -2.272 4.245
Pr 5.249 0.000 4.245
Te -0.061 0.000 6.033
Te 3.965 2.322 6.034
Te 6.532 2.322 2.456
Te 2.624 0.000 2.400
Te 7.873 0.000 6.089
Te 3.965 -2.322 6.034
Te 6.532 -2.322 2.456
Te 10.558 0.000 2.456
```

Values from the calculation:
- formation energy without anion corrections (eV/atom) = -1.3258
- D(E_F) (states/eV/cell) = 8.61
- crystal system = monoclinic

***

No. 7
Density functional theory data (GGA-PBE) for a relaxed structure of KPr6Te8.

extended XYZ file:
```
15
Lattice="12.174 0.000 0.000 -6.087 10.543 0.000 0.000 0.000 4.621" Properties=species:S:1:pos:R:3 pbc="T T T"
K 0.000 0.000 0.000
Pr -1.293 5.103 3.465
Pr -1.021 9.112 3.465
Pr 3.773 3.672 1.156
Pr 2.314 6.872 3.465
Pr 7.108 1.432 1.156
Pr 7.380 5.440 1.156
Te -3.669 7.327 3.469
Te 1.577 3.702 3.469
Te 0.000 7.029 1.155
Te 3.994 0.486 1.152
Te 2.093 10.058 3.469
Te 6.087 3.514 3.466
Te 4.511 6.841 1.152
Te 9.756 3.216 1.152
```

Values from the calculation:
- formation energy without anion corrections (eV/atom) = -1.3639
- D(E_F) (states/eV/cell) = 11.16
- crystal system = trigonal

***

No. 8
Density functional theory data (GGA-PBE) for a relaxed structure of KPr2Te3.

extended XYZ file:
```
6
Lattice="4.577 0.000 0.000 -2.288 3.964 0.000 0.000 0.000 12.064" Properties=species:S:1:pos:R:3 pbc="T T T"
K 0.000 0.000 0.000
Pr 0.000 2.642 7.904
Pr 2.288 1.321 4.160
Te 0.000 0.000 6.032
Te 0.000 2.642 2.358
Te 2.288 1.321 9.707
```

Values from the calculation:
- formation energy without anion corrections (eV/atom) = -1.4287
- D(E_F) (states/eV/cell) = 2.19
- crystal system = trigonal

***

No. 9
Density functional theory data (GGA-PBE) for a relaxed structure of KPr3Te4.

extended XYZ file:
```
16
Lattice="4.579 0.000 0.000 -2.289 3.965 0.000 0.000 0.000 31.410" Properties=species:S:1:pos:R:3 pbc="T T T"
K 0.000 2.644 7.853
K 2.289 1.322 23.558
Pr 0.000 0.000 0.000
Pr 0.000 0.000 15.705
Pr 0.000 2.644 19.378
Pr 0.000 2.644 27.738
Pr 2.289 1.322 3.673
Pr 2.289 1.322 12.033
Te 0.000 0.000 5.477
Te 0.000 0.000 10.228
Te 0.000 0.000 21.182
Te 0.000 0.000 25.933
Te 0.000 2.644 1.837
Te 0.000 2.644 13.869
Te 2.289 1.322 17.542
Te 2.289 1.322 29.574
```

Values from the calculation:
- formation energy without anion corrections (eV/atom) = -1.4275
- D(E_F) (states/eV/cell) = 6.74
- crystal system = hexagonal

***

No. 10
Density functional theory data (GGA-PBE) for a relaxed structure of K4Pr3ThTe8.

extended XYZ file:
```
16
Lattice="4.602 2.657 8.309 -4.602 2.657 8.309 0.000 -5.314 8.309" Properties=species:S:1:pos:R:3 pbc="T T T"
K 0.000 0.000 0.000
K -2.301 -1.328 8.309
K -2.301 1.328 16.618
K 0.000 2.657 8.309
Pr -4.602 0.000 12.463
Pr -2.301 1.328 4.154
Pr 2.301 1.328 4.154
Th 0.000 0.000 12.463
Te 0.000 0.000 5.974
Te -2.260 -1.305 14.268
Te 0.000 -2.609 10.659
Te -2.260 1.305 10.659
Te 2.260 -1.305 14.268
Te 0.000 2.609 14.268
Te 2.260 1.305 10.659
Te 0.000 0.000 18.953
```

Values from the calculation:
- formation energy without anion corrections (eV/atom) = -1.3608
- D(E_F) (states/eV/cell) = 5.08
- crystal system = trigonal

***

No. 11
Density functional theory data (GGA-PBE) for a relaxed structure of K2PrTh2Te6.

extended XYZ file:
```
11
Lattice="3.902 -6.785 0.000 3.902 6.785 0.000 -2.575 0.000 8.500" Properties=species:S:1:pos:R:3 pbc="T T T"
K 3.902 4.552 0.000
K 3.902 -4.552 0.000
Pr -1.288 0.000 4.250
Th 2.615 2.265 4.250
Th 2.615 -2.265 4.250
Te 0.043 2.294 6.080
Te 1.387 0.000 2.420
Te 0.043 -2.294 6.080
Te 5.187 2.294 2.420
Te 3.842 0.000 6.080
Te 5.187 -2.294 2.420
```

Values from the calculation:
- formation energy without anion corrections (eV/atom) = -1.2746
- D(E_F) (states/eV/cell) = 5.53
- crystal system = monoclinic

***

No. 12
Density functional theory data (GGA-PBE) for a relaxed structure of K3Pr2ThTe6.

extended XYZ file:
```
12
Lattice="3.973 -6.880 0.000 3.973 6.880 0.000 -2.648 0.000 8.329" Properties=species:S:1:pos:R:3 pbc="T T T"
K 0.000 0.000 0.000
K 3.973 2.322 0.000
K 3.973 -2.322 0.000
Pr 2.649 4.591 4.165
Pr 2.649 -4.591 4.165
Th 2.649 0.000 4.165
Te 1.350 2.251 2.350
Te 0.052 0.000 5.984
Te 1.350 -2.251 2.350
Te 3.947 2.251 5.979
Te 5.245 0.000 2.345
Te 3.947 -2.251 5.979
```

Values from the calculation:
- formation energy without anion corrections (eV/atom) = -1.3422
- D(E_F) (states/eV/cell) = 4.86
- crystal system = monoclinic

***

No. 13
Density functional theory data (GGA-PBE) for a relaxed structure of K4Pr3TiTe8.

extended XYZ file:
```
16
Lattice="4.535 2.619 8.263 -4.535 2.619 8.263 0.000 -5.237 8.263" Properties=species:S:1:pos:R:3 pbc="T T T"
K 0.000 0.000 0.000
K -2.268 -1.309 8.263
K -2.268 1.309 16.527
K 0.000 2.619 8.263
Pr -4.535 0.000 12.395
Pr -2.268 1.309 4.132
Pr 2.268 1.309 4.132
Ti 0.000 0.000 12.395
Te 0.000 0.000 5.953
Te -2.093 -1.208 14.090
Te 0.000 -2.417 10.700
Te -2.093 1.208 10.700
Te 2.093 -1.208 14.090
Te 0.000 2.417 14.090
Te 2.093 1.208 10.700
Te 0.000 0.000 18.837
```

Values from the calculation:
- formation energy without anion corrections (eV/atom) = -1.2340
- D(E_F) (states/eV/cell) = 6.63
- crystal system = trigonal

***

No. 14
Density functional theory data (GGA-PBE) for a relaxed structure of K3Pr3TiTe8.

extended XYZ file:
```
15
Lattice="4.494 2.595 8.469 -4.494 2.595 8.469 0.000 -5.189 8.469" Properties=species:S:1:pos:R:3 pbc="T T T"
K -2.247 -1.297 8.469
K -2.247 1.297 16.937
K 0.000 2.595 8.469
Pr -4.494 0.000 12.703
Pr -2.247 1.297 4.234
Pr 2.247 1.297 4.234
Ti 0.000 0.000 12.703
Te 0.000 0.000 6.087
Te -2.022 -1.167 14.376
Te 0.000 -2.334 11.030
Te -2.022 1.167 11.030
Te 2.022 -1.167 14.376
Te 0.000 2.334 14.376
Te 2.022 1.167 11.030
Te 0.000 0.000 19.319
```

Values from the calculation:
- formation energy without anion corrections (eV/atom) = -1.2111
- crystal system = trigonal

***

No. 15
Density functional theory data (GGA-PBE) for a relaxed structure of K3Pr3TmTe8.

extended XYZ file:
```
15
Lattice="4.527 2.614 8.515 -4.527 2.614 8.515 0.000 -5.228 8.515" Properties=species:S:1:pos:R:3 pbc="T T T"
K -2.264 -1.307 8.515
K -2.264 1.307 17.030
K 0.000 2.614 8.515
Pr -4.527 0.000 12.772
Pr -2.264 1.307 4.257
Pr 2.264 1.307 4.257
Tm 0.000 0.000 12.772
Te 0.000 0.000 6.109
Te -2.185 -1.262 14.551
Te 0.000 -2.523 10.994
Te -2.185 1.262 10.994
Te 2.185 -1.262 14.551
Te 0.000 2.524 14.551
Te 2.185 1.262 10.994
Te 0.000 0.000 19.436
```

Values from the calculation:
- formation energy without anion corrections (eV/atom) = -1.3176
- D(E_F) (states/eV/cell) = 8.51
- crystal system = trigonal

***

No. 16
Density functional theory data (GGA-PBE) for a relaxed structure of K4PrTm3Te8.

extended XYZ file:
```
16
Lattice="4.503 2.600 8.247 -4.503 2.600 8.247 0.000 -5.200 8.247" Properties=species:S:1:pos:R:3 pbc="T T T"
K 0.000 0.000 0.000
K -2.251 -1.300 8.247
K -2.251 1.300 16.493
K 0.000 2.600 8.246
Pr 0.000 0.000 12.370
Tm -4.503 0.000 12.370
Tm -2.251 1.300 4.123
Tm 2.251 1.300 4.123
Te -2.323 -1.341 14.098
Te 0.000 0.000 5.810
Te 0.000 -2.682 10.641
Te -2.323 1.341 10.641
Te 2.323 -1.341 14.098
Te 0.000 2.682 14.098
Te 0.000 0.000 18.930
Te 2.323 1.341 10.641
```

Values from the calculation:
- formation energy without anion corrections (eV/atom) = -1.3783
- crystal system = trigonal

***

No. 17
Density functional theory data (GGA-PBE) for a relaxed structure of K3Pr2TmTe6.

extended XYZ file:
```
12
Lattice="3.970 -6.879 0.000 3.970 6.879 0.000 -2.651 0.000 8.253" Properties=species:S:1:pos:R:3 pbc="T T T"
K 0.000 0.000 0.000
K 3.970 2.340 0.000
K 3.970 -2.340 0.000
Pr 2.645 4.593 4.126
Pr 2.645 -4.593 4.126
Tm 2.645 0.000 4.126
Te 1.369 2.214 2.376
Te 0.093 0.000 5.885
Te 1.369 -2.214 2.376
Te 3.920 2.214 5.877
Te 5.196 0.000 2.368
Te 3.920 -2.214 5.877
```

Values from the calculation:
- formation energy without anion corrections (eV/atom) = -1.3997
- crystal system = monoclinic

***

No. 18
Density functional theory data (GGA-PBE) for a relaxed structure of K4Pr3TmTe8.

extended XYZ file:
```
16
Lattice="4.602 2.657 8.259 -4.602 2.657 8.259 0.000 -5.314 8.259" Properties=species:S:1:pos:R:3 pbc="T T T"
K 0.000 0.000 0.000
K -2.301 -1.328 8.259
K -2.301 1.328 16.517
K 0.000 2.657 8.258
Pr -4.602 0.000 12.388
Pr -2.301 1.328 4.129
Pr 2.301 1.328 4.129
Tm 0.000 0.000 12.388
Te 0.000 0.000 5.927
Te -2.226 -1.285 14.138
Te 0.000 -2.570 10.638
Te -2.226 1.285 10.638
Te 2.226 -1.285 14.138
Te 0.000 2.570 14.138
Te 2.226 1.285 10.638
Te 0.000 0.000 18.848
```

Values from the calculation:
- formation energy without anion corrections (eV/atom) = -1.4030
- crystal system = trigonal

***

No. 19
Density functional theory data (GGA-PBE) for a relaxed structure of K3PrTm2Te6.

extended XYZ file:
```
12
Lattice="3.913 -6.778 0.000 3.913 6.778 0.000 -2.611 0.000 8.250" Properties=species:S:1:pos:R:3 pbc="T T T"
K 0.000 0.000 0.000
K 3.913 2.211 0.000
K 3.913 -2.211 0.000
Pr 2.607 0.000 4.125
Tm 2.607 4.513 4.125
Tm 2.607 -4.513 4.125
Te 1.257 2.340 2.398
Te -0.095 0.000 5.845
Te 1.257 -2.340 2.398
Te 3.958 2.340 5.853
Te 5.310 0.000 2.405
Te 3.958 -2.340 5.853
```

Values from the calculation:
- formation energy without anion corrections (eV/atom) = -1.3836
- crystal system = monoclinic

***

No. 20
Density functional theory data (GGA-PBE) for a relaxed structure of K2PrUTe4.

extended XYZ file:
```
8
Lattice="7.937 0.000 0.000 0.000 4.589 0.000 -2.656 0.000 8.275" Properties=species:S:1:pos:R:3 pbc="T T T"
K 0.000 0.000 0.000
K 3.969 2.295 0.000
Pr -1.328 2.295 4.137
U 2.641 0.000 4.137
Te 0.038 0.000 5.924
Te 1.367 2.295 2.380
Te 3.914 2.295 5.894
Te 5.243 0.000 2.350
```

Values from the calculation:
- formation energy without anion corrections (eV/atom) = -1.1235
- D(E_F) (states/eV/cell) = 9.04
- crystal system = monoclinic